(1)
# Tb3Sm6Tm2Sc

Crystalline Tb3Sm6Tm2Sc at its relaxed geometry (PBE, Alexandria via LeMat-Bulk).

The structure in CIF format:
```
data_Tb3Sm6Tm2Sc
_chemical_formula_sum 'Tb6 Sm12 Tm4 Sc2'
_cell_length_a 6.180
_cell_length_b 10.699
_cell_length_c 11.702
_cell_angle_alpha 90.00
_cell_angle_beta 100.10
_cell_angle_gamma 90.00
_symmetry_space_group_name_H-M 'C 1 2/m 1'
_symmetry_Int_Tables_number 12
loop_
_symmetry_equiv_pos_as_xyz
'x,y,z'
'-x,-y,-z'
'-x,y,-z'
'x,-y,z'
'x+1/2,y+1/2,z'
'-x+1/2,-y+1/2,-z'
'-x+1/2,y+1/2,-z'
'x+1/2,-y+1/2,z'
loop_
_atom_site_label
_atom_site_type_symbol
_atom_site_fract_x
_atom_site_fract_y
_atom_site_fract_z
Tb1 Tb 0.000 0.000 0.000
Tb2 Tb 0.000 0.333 0.000
Sm1 Sm 0.247 0.335 0.746
Sm2 Sm 0.249 0.500 0.254
Tm1 Tm 0.000 0.167 0.500
Sc1 Sc 0.000 0.500 0.500
```

Computed properties:
* Fermi-level density of states: 1.20 states/eV/atom
* final energy: -4.7640 eV per atom
* crystal system: monoclinic

=====

(2)
# ZrNbGaN2

Crystalline ZrNbGaN2 at its relaxed geometry (PBE, Alexandria via LeMat-Bulk).

The structure in CIF format:
```
data_ZrNbGaN2
_chemical_formula_sum 'Zr1 Nb1 Ga1 N2'
_cell_length_a 4.020
_cell_length_b 4.020
_cell_length_c 4.855
_cell_angle_alpha 90.00
_cell_angle_beta 90.00
_cell_angle_gamma 90.00
_symmetry_space_group_name_H-M 'P 4/m m m'
_symmetry_Int_Tables_number 123
_symmetry_space_group_name_Hall '-P 4 2'
loop_
_atom_site_label
_atom_site_type_symbol
_atom_site_fract_x
_atom_site_fract_y
_atom_site_fract_z
Zr1 Zr 0.000 0.000 0.000
Nb1 Nb 0.500 0.500 0.000
Ga1 Ga 0.500 0.500 0.500
N1 N 0.000 0.500 0.500
```

Computed properties:
* Fermi-level density of states: 0.96 states/eV/atom
* uncorrected formation energy: 1.444 eV per atom
* crystal system: tetragonal

=====

(3)
# Ca2Sn2Hg

Crystalline Ca2Sn2Hg at its relaxed geometry (PBE, Alexandria via LeMat-Bulk).

The structure in CIF format:
```
data_Ca2Sn2Hg
_chemical_formula_sum 'Ca8 Sn8 Hg4'
_cell_length_a 11.586
_cell_length_b 4.851
_cell_length_c 11.354
_cell_angle_alpha 90.00
_cell_angle_beta 116.31
_cell_angle_gamma 90.00
_symmetry_space_group_name_H-M 'C 1 2/m 1'
_symmetry_Int_Tables_number 12
loop_
_symmetry_equiv_pos_as_xyz
'x,y,z'
'-x,-y,-z'
'-x,y,-z'
'x,-y,z'
'x+1/2,y+1/2,z'
'-x+1/2,-y+1/2,-z'
'-x+1/2,y+1/2,-z'
'x+1/2,-y+1/2,z'
loop_
_atom_site_label
_atom_site_type_symbol
_atom_site_fract_x
_atom_site_fract_y
_atom_site_fract_z
Ca1 Ca 0.010 0.000 0.326
Ca2 Ca 0.179 0.000 0.103
Sn1 Sn 0.037 0.500 0.891
Sn2 Sn 0.141 0.500 0.552
Hg1 Hg 0.222 0.500 0.322
```

Computed properties:
* Fermi-level density of states: 0.42 states/eV/atom
* final energy: -2.9970 eV per atom
* crystal system: monoclinic

=====

(4)
# AlBiRh

Crystalline AlBiRh at its relaxed geometry (PBE, Alexandria via LeMat-Bulk).

The structure in CIF format:
```
data_AlBiRh
_chemical_formula_sum 'Al4 Bi4 Rh4'
_cell_length_a 20.765
_cell_length_b 3.972
_cell_length_c 3.107
_cell_angle_alpha 90.00
_cell_angle_beta 90.07
_cell_angle_gamma 90.00
_symmetry_space_group_name_H-M 'C 1 m 1'
_symmetry_Int_Tables_number 8
loop_
_symmetry_equiv_pos_as_xyz
'x,y,z'
'x,-y,z'
'x+1/2,y+1/2,z'
'x+1/2,-y+1/2,z'
loop_
_atom_site_label
_atom_site_type_symbol
_atom_site_fract_x
_atom_site_fract_y
_atom_site_fract_z
Al1 Al 0.000 0.000 0.000
Al2 Al 0.095 0.500 0.000
Bi1 Bi 0.219 0.500 0.501
Bi2 Bi 0.366 0.000 0.531
Rh1 Rh 0.111 0.000 0.500
Rh2 Rh 0.499 0.000 0.501
```

Computed properties:
* Fermi-level density of states: 0.37 states/eV/atom
* final energy: -5.4518 eV per atom
* crystal system: monoclinic

=====

> Among the records above, which one has the highest Fermi-level density of states?

Tb3Sm6Tm2Sc